Below is a geometry-optimized Ga3Ru4W structure, with properties calculated at the PBE-GGA level.

The structure in POSCAR format:
```
Ga3Ru4W
1.0
4.157 0.000 1.227
1.897 3.698 1.227
0.063 0.038 7.442
Ru W Ga
4 1 3
direct
0.375 0.375 0.876
0.625 0.625 0.124
0.124 0.124 0.628
0.876 0.876 0.372
0.000 0.000 0.000
0.750 0.750 0.749
0.500 0.500 0.500
0.250 0.250 0.251
```

Properties
- calculated formation energy (eV/atom) = -0.30
- space group = R-3m, No. 166
- M_tot (μB per atom) = 0.000
- E (eV per atom) = -7.6886